1.
A relaxed Rb3SbF6 crystal. Source: Alexandria, functional PBE.

a = 9.0025 Å, b = 11.3572 Å, c = 7.2526 Å
α = 90.00°, β = 110.74°, γ = 90.00°
Space group C2/m (No. 12)
Inequivalent atoms, fractional coordinates:
Rb: 0.0000 0.0000 0.0000 x2
Rb: 0.2500 0.2500 0.5000 x4
Sb: 0.0000 0.0000 0.5000 x2
F: 0.0746 0.1445 0.7195 x8
F: 0.2206 0.0000 0.4303 x4

Values from the calculation:
Magnetization = 0.00 μB per formula unit



2.
A relaxed BeTc2Os crystal. Source: Alexandria, functional PBE.

a = 2.8587 Å, b = 4.3215 Å, c = 8.4181 Å
α = 90.00°, β = 90.00°, γ = 90.00°
Space group Imm2 (No. 44)
Inequivalent atoms, fractional coordinates:
Be: 0.0000 0.0000 0.0000 x2
Tc: 0.0000 0.0000 0.4957 x2
Tc: 0.0000 0.5000 0.2690 x2
Os: 0.0000 0.5000 0.7235 x2

Values from the calculation:
Magnetization = 0.00 μB per formula unit
Energy relative to the elements = -0.01 eV per formula unit



| no. | raw total energy (Ry/atom) |
| --- | --- |
| 1 | -0.32146 |
| 2 | -0.65597 |